Crystalline GeP2BrCl at its relaxed geometry. Source: the Alexandria database, functional GGA-PBE.

Cell: 4.932 4.932 4.847 Å, 90.00 90.00 90.00°
Space group P4/mmm (No. 123)
Symmetry-distinct sites (fractional):
Ge  0.000  0.000  0.000 [1 per cell]
P  0.000  0.500  0.000 [2 per cell]
Br  0.500  0.500  0.500 [1 per cell]
Cl  0.000  0.000  0.500 [1 per cell]

***

Crystalline Pm3GeBrCl at its relaxed geometry. Source: the Alexandria database, functional GGA-PBE.

Cell: 8.912 4.117 9.405 Å, 90.00 103.72 90.00°
Space group P2_1/m (No. 11)
Symmetry-distinct sites (fractional):
Pm  0.147  0.250  0.101 [2 per cell]
Pm  0.148  0.250  0.468 [2 per cell]
Pm  0.283  0.750  0.816 [2 per cell]
Ge  0.038  0.250  0.759 [2 per cell]
Br  0.415  0.750  0.141 [2 per cell]
Cl  0.370  0.750  0.554 [2 per cell]

***

no.,formation energy without anion corrections (eV/atom)
1,0.671
2,-1.232